VASP calculation (GGA-PBE) on a geometry-optimized CsLiGeAu2 structure.

Raw total energy (eV per atom): -2.96
ΔH_f (0 K) (eV per atom): -0.177

Unit cell a=5.141 b=5.141 c=5.219 alpha=90.00 beta=90.00 gamma=90.00
Element x y z (fractional)
Cs1 0.500 0.500 0.500
Ge1 0.000 0.000 0.000
Au1 0.000 0.500 0.000
Au2 0.500 0.000 0.000
Li1 0.000 0.000 0.500

VASP calculation (GGA-PBE) on a geometry-optimized TlPbSe2 structure.

ΔE_f (raw) (meV/atom): -199
Raw total energy (eV per atom): -3.46

Unit cell a=5.235 b=5.235 c=4.116 alpha=90.00 beta=90.00 gamma=76.29
Element x y z (fractional)
Pb1 0.000 0.500 0.500
Se1 0.000 0.000 0.000
Se2 0.500 0.500 0.000
Tl1 0.500 0.000 0.500